CePmTaN3, relaxed, DFT GGA-PBE; DOS(E_F) = 0.903 states/eV per atom; raw formation energy = -1.052 eV per atom
1.0
3.477 0.000 0.000
0.000 7.430 1.269
0.000 -1.448 7.763
Ce Pm Ta N
2 2 2 6
Direct
0.750 0.851 0.847
0.250 0.149 0.153
0.250 0.604 0.168
0.750 0.396 0.832
0.250 0.120 0.583
0.750 0.880 0.417
0.250 0.834 0.544
0.750 0.871 0.164
0.750 0.366 0.122
0.750 0.166 0.456
0.250 0.634 0.878
0.250 0.129 0.836

---

YVSi2Br, relaxed, DFT GGA-PBE; DOS(E_F) = 0.766 states/eV per atom; raw formation energy = 0.031 eV per atom
1.0
-2.348 -2.367 -3.137
-1.565 -3.324 3.679
-3.681 2.605 0.789
Y Si Br V
1 2 1 1
Direct
0.500 0.500 0.500
0.000 0.000 0.500
0.500 0.000 0.000
0.000 0.500 0.000
0.000 0.000 0.000

---

PrEr2Au, relaxed, DFT GGA-PBE; energy of formation = -9.59 kcal/mol of atoms; DOS(E_F) = 1.388 states/eV per atom
1.0
3.616 0.000 0.000
0.000 3.616 0.000
0.000 0.000 8.615
Pr Au Er
1 1 2
Direct
0.500 0.500 0.500
0.500 0.500 0.000
0.000 0.000 0.801
0.000 0.000 0.199

---

La12Te3H5, relaxed, DFT GGA-PBE; DOS(E_F) = 1.190 states/eV per atom
1.0
-5.238 10.433 -8.227
-10.781 -7.338 5.822
8.032 5.680 10.354
Te H La
12 20 48
Direct
0.750 0.375 0.125
0.875 0.750 0.125
0.375 0.750 0.625
0.250 0.125 0.375
0.875 0.125 0.250
0.375 0.625 0.250
0.625 0.375 0.750
0.125 0.875 0.750
0.750 0.875 0.625
0.625 0.250 0.375
0.125 0.250 0.875
0.250 0.625 0.875
0.125 0.375 0.250
0.000 0.500 0.000
0.000 0.000 0.000
0.375 0.250 0.125
0.500 0.000 0.500
0.500 0.500 0.000
0.125 0.750 0.375
0.750 0.125 0.875
0.750 0.625 0.375
0.375 0.125 0.750
0.625 0.875 0.250
0.500 0.500 0.500
0.500 0.000 0.000
0.000 0.000 0.500
0.250 0.375 0.625
0.250 0.875 0.125
0.000 0.500 0.500
0.875 0.250 0.625
0.625 0.750 0.875
0.875 0.625 0.750
0.709 0.112 0.017
0.308 0.517 0.405
0.983 0.388 0.291
0.517 0.209 0.112
0.597 0.709 0.692
0.983 0.595 0.192
0.308 0.791 0.403
0.095 0.903 0.112
0.595 0.983 0.692
0.709 0.597 0.192
0.791 0.483 0.388
0.808 0.905 0.017
0.112 0.709 0.517
0.388 0.405 0.097
0.097 0.905 0.388
0.403 0.112 0.595
0.097 0.192 0.209
0.483 0.692 0.095
0.808 0.903 0.291
0.112 0.403 0.095
0.388 0.983 0.791
0.595 0.612 0.403
0.905 0.808 0.517
0.791 0.308 0.903
0.405 0.388 0.597
0.095 0.192 0.483
0.209 0.692 0.097
0.192 0.097 0.709
0.612 0.017 0.209
0.888 0.597 0.905
0.517 0.308 0.905
0.597 0.888 0.405
0.903 0.808 0.791
0.903 0.095 0.612
0.888 0.291 0.483
0.192 0.095 0.983
0.612 0.595 0.903
0.405 0.017 0.308
0.291 0.403 0.808
0.209 0.517 0.612
0.905 0.097 0.888
0.692 0.209 0.597
0.483 0.791 0.888
0.017 0.405 0.808
0.403 0.291 0.308
0.017 0.612 0.709
0.692 0.483 0.595
0.291 0.888 0.983

---

PrSmDy2, relaxed, DFT GGA-PBE; energy of formation = 1.31 kcal/mol of atoms; DOS(E_F) = 1.519 states/eV per atom
1.0
-2.986 0.186 -1.937
2.264 -3.462 -3.823
-0.958 -5.313 4.245
Pr Sm Dy
1 1 2
Direct
0.688 0.500 0.376
0.562 0.000 0.124
0.946 0.500 0.892
0.304 0.000 0.608

---

Number 1: electronic total energy -8.971 eV/atom, magnetic moment 2.10 μB per cell. Number 2: electronic total energy -5.589 eV/atom, magnetic moment 0.59 μB per cell. Number 3: electronic total energy -4.711 eV/atom, magnetic moment 0.00 μB per cell. Number 4: electronic total energy -4.806 eV/atom, magnetic moment 0.00 μB per cell. Number 5: electronic total energy -4.619 eV/atom, magnetic moment 0.00 μB per cell.